# 1
A relaxed structure of Ga2Fe2Bi. Source: Alexandria, functional GGA-PBE.

Cell: 7.098 7.098 3.031 Å, 90.00 90.00 90.00°
Atoms (fractional coordinates):
Ga  0.139  0.361  0.000
Ga  0.361  0.861  0.000
Ga  0.639  0.139  0.000
Ga  0.861  0.639  0.000
Fe  0.151  0.651  0.500
Fe  0.349  0.151  0.500
Fe  0.651  0.849  0.500
Fe  0.849  0.349  0.500
Bi  0.000  0.000  0.500
Bi  0.500  0.500  0.500

Values from the calculation:
symmetry	P4/mbm (127)
ΔH_f (0 K)	0.29	eV per atom

***

# 2
A relaxed structure of Ba2Te2I. Source: Alexandria, functional GGA-PBE.

Cell: 7.210 7.210 7.210 Å, 126.57 126.57 78.95°
Atoms (fractional coordinates):
Ba  0.250  0.750  0.500
Ba  0.750  0.250  0.500
Te  0.146  0.146  0.000
Te  0.854  0.854  0.000
I  0.500  0.500  0.000

Values from the calculation:
ΔE_f (raw)	-30.9	kcal/mol of atoms
symmetry	I4/mmm (139)

***

What did the first record say?
A relaxed structure of Ga2Fe2Bi. Source: Alexandria, functional GGA-PBE.

Cell: 7.098 7.098 3.031 Å, 90.00 90.00 90.00°
Atoms (fractional coordinates):
Ga  0.139  0.361  0.000
Ga  0.361  0.861  0.000
Ga  0.639  0.139  0.000
Ga  0.861  0.639  0.000
Fe  0.151  0.651  0.500
Fe  0.349  0.151  0.500
Fe  0.651  0.849  0.500
Fe  0.849  0.349  0.500
Bi  0.000  0.000  0.500
Bi  0.500  0.500  0.500

Values from the calculation:
symmetry	P4/mbm (127)
ΔH_f (0 K)	0.29	eV per atom